The following is a DFT calculation (GGA-PBE) of an optimized crystal structure of RbNpH2F8.

Structure (POSCAR):
```
RbNpH2F8
1.0
-3.354 -2.499 -3.894
5.514 -1.453 0.377
-1.823 -5.582 5.153
H F Rb Np
2 8 1 1
direct
0.667 0.333 0.289
0.333 0.667 0.711
0.333 0.667 0.590
0.836 0.673 0.834
0.673 0.836 0.166
0.164 0.327 0.166
0.327 0.164 0.834
0.667 0.333 0.410
0.164 0.836 0.166
0.836 0.164 0.834
0.000 0.000 0.500
0.000 0.000 0.000
```

Calculated values
Its density of states at the Fermi level is 0.80 states/eV/atom. The total magnetization comes out at 2.0 μB per cell. The value obtained for the final energy is -66.995 eV for the cell shown.